PrEr2Pt2: relaxed, PBE.

Results
- ΔH_f (0 K) (eV per atom) = -0.937

abc: 6.5927 6.5818 6.7115
angles: 90.00 118.87 90.00
Space group C2/m (No. 12)
Symmetry-distinct sites (fractional):
1 Pr 0.0000 0.0000 0.0000 x2
2 Er 0.0000 0.2503 0.5000 x4
3 Pt 0.1161 0.5000 0.2274 x4

***

AgTe4As: relaxed, PBE.

Results
- energy (eV per atom) = -2.65

abc: 8.8688 8.8688 8.8688
angles: 90.00 90.00 90.00
Space group F-43m (No. 216)
Symmetry-distinct sites (fractional):
1 Ag 0.0000 0.0000 0.0000 x4
2 Te 0.1241 0.1241 0.3759 x16
3 As 0.2500 0.2500 0.7500 x4

***

Ac5Sm2Dy: relaxed, PBE.

Results
- ΔH_f (0 K) (eV per atom) = 0.042

abc: 7.6218 15.2732 5.5140
angles: 90.00 90.00 90.00
Space group Pbam (No. 55)
Symmetry-distinct sites (fractional):
1 Ac 0.0000 0.0000 0.0000 x2
2 Ac 0.0142 0.2546 0.0000 x4
3 Ac 0.2380 0.6205 0.5000 x4
4 Sm 0.2413 0.8759 0.5000 x4
5 Dy 0.0000 0.5000 0.0000 x2

***

TbPrHoAl: relaxed, PBE.

Results
- ΔH_f (0 K) (eV per atom) = -0.054

abc: 7.6631 7.6631 7.6631
angles: 90.00 90.00 90.00
Space group F-43m (No. 216)
Symmetry-distinct sites (fractional):
1 Tb 0.0000 0.0000 0.0000 x4
2 Pr 0.0000 0.0000 0.5000 x4
3 Ho 0.2500 0.2500 0.7500 x4
4 Al 0.2500 0.2500 0.2500 x4

***

Li2MgAu: relaxed, PBE.

Results
- ΔH_f (0 K) (eV per atom) = -0.400

abc: 4.0437 4.0437 4.1708
angles: 90.00 90.00 90.00
Space group P4/mmm (No. 123)
Symmetry-distinct sites (fractional):
1 Li 0.0000 0.5000 0.0000 x2
2 Mg 0.0000 0.0000 0.5000 x1
3 Au 0.5000 0.5000 0.5000 x1

***

Tb2PmPa: relaxed, PBE.

Results
- ΔH_f (0 K) (eV per atom) = 0.302

abc: 3.3526 3.3526 37.0811
angles: 90.00 90.00 120.00
Space group R-3m (No. 166, hexagonal axes)
Symmetry-distinct sites (fractional):
1 Tb 0.0000 0.0000 0.0865 x6
2 Pm 0.0000 0.0000 0.5000 x3
3 Pa 0.0000 0.0000 0.0000 x3

***

SrTlW: relaxed, PBE.

Results
- ΔH_f (0 K) (eV per atom) = 0.875

abc: 3.0634 3.0634 15.2403
angles: 90.00 90.00 90.00
Space group I4mm (No. 107)
Symmetry-distinct sites (fractional):
1 Sr 0.0000 0.0000 0.0000 x2
2 Tl 0.0000 0.0000 0.3153 x2
3 W 0.0000 0.0000 0.6681 x2

***

CaGa2Cu6: relaxed, PBE.

Results
- ΔH_f (0 K) (eV per atom) = 0.031

abc: 3.8800 6.3513 11.8463
angles: 90.00 90.00 90.00
Space group Immm (No. 71)
Symmetry-distinct sites (fractional):
1 Ca 0.0000 0.0000 0.0000 x2
2 Ga 0.0000 0.5000 0.1255 x4
3 Cu 0.0000 0.1796 0.5000 x4
4 Cu 0.0000 0.2981 0.3088 x8

***

PrNi3Ge2: relaxed, PBE.

Results
- ΔH_f (0 K) (eV per atom) = -0.544

abc: 15.1438 3.9360 7.2040
angles: 90.00 114.98 90.00
Space group C2/m (No. 12)
Symmetry-distinct sites (fractional):
1 Pr 0.1527 0.0000 0.0703 x4
2 Ni 0.0372 0.0000 0.3761 x4
3 Ni 0.0878 0.5000 0.6543 x4
4 Ni 0.1852 0.5000 0.4470 x4
5 Ge 0.0219 0.5000 0.1923 x4
6 Ge 0.1867 0.0000 0.6674 x4

***

Pm3Dy7Tm2: relaxed, PBE.

Results
- ΔH_f (0 K) (eV per atom) = 0.292

abc: 6.4808 6.4808 33.8231
angles: 90.00 90.00 120.00
Space group R-3m (No. 166, hexagonal axes)
Symmetry-distinct sites (fractional):
1 Pm 0.0000 0.0000 0.0000 x3
2 Pm 0.0000 0.0000 0.1556 x6
3 Dy 0.0000 0.0000 0.5000 x3
4 Dy 0.0012 0.5006 0.9165 x18
5 Tm 0.0000 0.0000 0.3333 x6

***

Tb2CI: relaxed, PBE.

Results
- energy (eV per atom) = -5.75

abc: 3.7766 3.7766 22.4305
angles: 90.00 90.00 120.00
Space group R3m (No. 160, hexagonal axes)
Symmetry-distinct sites (fractional):
1 Tb 0.0000 0.0000 0.0000 x3
2 Tb 0.0000 0.0000 0.2193 x3
3 C 0.0000 0.0000 0.6115 x3
4 I 0.0000 0.0000 0.4427 x3

***

V4TcMo3: relaxed, PBE.

Results
- ΔH_f (0 K) (eV per atom) = -0.201

abc: 3.0600 3.0600 12.2681
angles: 90.00 90.00 90.00
Space group P4/mmm (No. 123)
Symmetry-distinct sites (fractional):
1 V 0.0000 0.0000 0.1223 x2
2 V 0.0000 0.0000 0.3736 x2
3 Tc 0.5000 0.5000 0.0000 x1
4 Mo 0.5000 0.5000 0.2486 x2
5 Mo 0.5000 0.5000 0.5000 x1

***

TiBePdO2: relaxed, PBE.

Results
- energy (eV per atom) = -5.98

abc: 3.6181 3.6181 4.1813
angles: 90.00 90.00 90.00
Space group P4/mmm (No. 123)
Symmetry-distinct sites (fractional):
1 Ti 0.0000 0.0000 0.0000 x1
2 Be 0.5000 0.5000 0.5000 x1
3 Pd 0.5000 0.5000 0.0000 x1
4 O 0.0000 0.5000 0.5000 x2

***

BC2: relaxed, PBE.

Results
- ΔH_f (0 K) (eV per atom) = 0.319

abc: 4.6299 2.5847 6.4734
angles: 90.00 94.68 90.00
Space group Pm (No. 6)
Symmetry-distinct sites (fractional):
1 B 0.0000 0.0000 0.0000 x1
2 B 0.0302 0.0000 0.6705 x1
3 B 0.5146 0.5000 0.7383 x1
4 B 0.6995 0.0000 0.4037 x1
5 C 0.2030 0.5000 0.3804 x1
6 C 0.2044 0.5000 0.6184 x1
7 C 0.3502 0.0000 0.0604 x1
8 C 0.3556 0.0000 0.3058 x1
9 C 0.5035 0.5000 0.9900 x1
10 C 0.7033 0.0000 0.6678 x1
11 C 0.8256 0.5000 0.0715 x1
12 C 0.8766 0.5000 0.3002 x1

***

AcTbErAg: relaxed, PBE.

Results
- ΔH_f (0 K) (eV per atom) = 0.183

abc: 7.8565 7.8565 7.8565
angles: 90.00 90.00 90.00
Space group F-43m (No. 216)
Symmetry-distinct sites (fractional):
1 Ac 0.0000 0.0000 0.0000 x4
2 Tb 0.2500 0.2500 0.7500 x4
3 Er 0.2500 0.2500 0.2500 x4
4 Ag 0.0000 0.0000 0.5000 x4

***

AcPmNd6Er2: relaxed, PBE.

Results
- ΔH_f (0 K) (eV per atom) = 0.118

abc: 9.4646 15.4179 9.8171
angles: 90.00 96.11 90.00
Space group C2/c (No. 15)
Symmetry-distinct sites (fractional):
1 Ac 0.0000 0.0325 0.2500 x4
2 Pm 0.0000 0.4097 0.7500 x4
3 Nd 0.0663 0.1799 0.9451 x8
4 Nd 0.0959 0.3897 0.1186 x8
5 Nd 0.2193 0.2292 0.3205 x8
6 Er 0.2451 0.4479 0.4511 x8

***

Tb2Y5Er4: relaxed, PBE.

Results
- ΔH_f (0 K) (eV per atom) = 0.023

abc: 23.2576 3.5414 8.6893
angles: 90.00 104.31 90.00
Space group C2/m (No. 12)
Symmetry-distinct sites (fractional):
1 Tb 0.0896 0.0000 0.2248 x4
2 Y 0.0000 0.0000 0.5000 x2
3 Y 0.1367 0.5000 0.5915 x4
4 Y 0.2265 0.5000 0.3153 x4
5 Er 0.0463 0.5000 0.8649 x4
6 Er 0.1820 0.0000 0.9540 x4

***

SrV2Ir2: relaxed, PBE.

Results
- ΔH_f (0 K) (eV per atom) = -0.036

abc: 4.4473 4.4473 9.6837
angles: 90.00 90.00 90.00
Space group I4/mmm (No. 139)
Symmetry-distinct sites (fractional):
1 Sr 0.0000 0.0000 0.0000 x2
2 V 0.0000 0.0000 0.3670 x4
3 Ir 0.0000 0.5000 0.2500 x4

***

LiAgC2: relaxed, PBE.

Results
- ΔH_f (0 K) (eV per atom) = 1.853

abc: 5.4911 5.4911 5.4911
angles: 90.00 90.00 90.00
Space group Fm-3m (No. 225)
Symmetry-distinct sites (fractional):
1 Li 0.0000 0.0000 0.0000 x4
2 Ag 0.0000 0.0000 0.5000 x4
3 C 0.2500 0.2500 0.2500 x8

***

Rb6PuI8: relaxed, PBE.

Results
- energy (eV per atom) = -3.54

abc: 10.9060 10.9060 21.8241
angles: 90.00 90.00 120.00
Space group R-3 (No. 148, hexagonal axes)
Symmetry-distinct sites (fractional):
1 Rb 0.0175 0.4022 0.4208 x18
2 Pu 0.0000 0.0000 0.5000 x3
3 I 0.0000 0.0000 0.1591 x6
4 I 0.0106 0.2500 0.5851 x18